The following is a GGA+U calculation of a geometry-optimized Rb2CoCl4F2 structure, from Alexandria.

Output
Calculated density = 2.9 g cm⁻³
Energy = -3.51 eV/atom

Unit cell a=6.917 b=6.949 c=6.949 alpha=59.77 beta=59.43 gamma=59.43
Last column: magnetic moment on the atom in μB.
Atoms (fractional coordinates):
Rb  0.784  0.249  0.249  0.00
Rb  0.216  0.751  0.751  0.00
F  0.726  0.817  0.817  0.01
F  0.274  0.183  0.183  0.01
Cl  0.707  0.788  0.254  -0.05
Cl  0.707  0.254  0.788  -0.05
Cl  0.293  0.212  0.746  -0.05
Cl  0.293  0.746  0.212  -0.05
Co  0.500  0.000  0.000  1.21